VASP calculation (meta-GGA SCAN) on a PBEsol-optimized structure of SrIn2Se.

Cell: 3.9068 3.9068 7.0578 Å, 90.00 90.00 90.00°
Space group P4/mmm (No. 123)
Asymmetric unit:
Sr 0.0000 0.0000 0.0000 (multiplicity 1)
In 0.5000 0.5000 0.2945 (multiplicity 2)
Se 0.0000 0.0000 0.5000 (multiplicity 1)

spin magnetization = 0.00 μB/atom
raw formation energy = -0.43 eV/atom